No. 1
Below is BaNa2AlBi after structural relaxation, with properties calculated at the GGA-PBE level.

Its formation energy is 0.51 eV/f.u. As for the space group: P4/mmm.

Structure (CIF):
```
data_BaNa2AlBi
_space_group_name_H-M_alt 'P 1'
_space_group_IT_number 1
_cell_length_a 5.870
_cell_length_b 5.718
_cell_length_c 5.870
_cell_angle_alpha 90.00
_cell_angle_beta 90.00
_cell_angle_gamma 90.00
loop_
_space_group_symop_operation_xyz
'x,y,z'
loop_
_atom_site_label
_atom_site_type_symbol
_atom_site_fract_x
_atom_site_fract_y
_atom_site_fract_z
_atom_site_occupancy
Ba1 Ba 0.500 0.500 0.500 1
Al1 Al 0.000 0.500 0.000 1
Na1 Na 0.500 0.000 0.000 1
Bi1 Bi 0.000 0.000 0.000 1
Na2 Na 0.000 0.000 0.500 1
```

No. 2
Below is BaNb2AlBi after structural relaxation, with properties calculated at the GGA-PBE level.

Its formation energy is 4.25 eV/f.u. As for the space group: P4/mmm.

Structure (CIF):
```
data_BaNb2AlBi
_space_group_name_H-M_alt 'P 1'
_space_group_IT_number 1
_cell_length_a 5.066
_cell_length_b 5.649
_cell_length_c 5.066
_cell_angle_alpha 90.00
_cell_angle_beta 90.00
_cell_angle_gamma 90.00
loop_
_space_group_symop_operation_xyz
'x,y,z'
loop_
_atom_site_label
_atom_site_type_symbol
_atom_site_fract_x
_atom_site_fract_y
_atom_site_fract_z
_atom_site_occupancy
Bi1 Bi 0.000 0.500 0.000 1
Ba1 Ba 0.500 0.500 0.500 1
Nb1 Nb 0.000 0.000 0.500 1
Nb2 Nb 0.500 0.000 0.000 1
Al1 Al 0.000 0.000 0.000 1
```

No. 3
Below is Ba3Al2BiO9 after structural relaxation, with properties calculated at the GGA-PBE level.

As for the formation energy from raw total energies: -2.26 eV per atom. As for the space group: P-3m1.

Structure (CIF):
```
data_Ba3Al2BiO9
_space_group_name_H-M_alt 'P 1'
_space_group_IT_number 1
_cell_length_a 5.752
_cell_length_b 5.752
_cell_length_c 7.077
_cell_angle_alpha 90.00
_cell_angle_beta 90.00
_cell_angle_gamma 120.00
loop_
_space_group_symop_operation_xyz
'x,y,z'
loop_
_atom_site_label
_atom_site_type_symbol
_atom_site_fract_x
_atom_site_fract_y
_atom_site_fract_z
_atom_site_occupancy
Al1 Al 0.333 0.667 0.150 1
O1 O 0.349 0.174 0.678 1
O2 O 0.000 0.500 0.000 1
O3 O 0.500 0.500 0.000 1
Al2 Al 0.667 0.333 0.850 1
O4 O 0.174 0.349 0.322 1
Bi1 Bi 0.000 0.000 0.500 1
O5 O 0.651 0.826 0.322 1
O6 O 0.500 0.000 0.000 1
O7 O 0.826 0.651 0.678 1
Ba1 Ba 0.333 0.667 0.672 1
Ba2 Ba 0.000 0.000 0.000 1
Ba3 Ba 0.667 0.333 0.328 1
O8 O 0.174 0.826 0.322 1
O9 O 0.826 0.174 0.678 1
```

No. 4
Below is Ba3Al2BiO8 after structural relaxation, with properties calculated at the GGA-PBE level.

As for the formation energy from raw total energies: -2.44 eV per atom. As for the space group: P-3m1.

Structure (CIF):
```
data_Ba3Al2BiO8
_space_group_name_H-M_alt 'P 1'
_space_group_IT_number 1
_cell_length_a 5.951
_cell_length_b 5.951
_cell_length_c 7.607
_cell_angle_alpha 90.00
_cell_angle_beta 90.00
_cell_angle_gamma 120.00
loop_
_space_group_symop_operation_xyz
'x,y,z'
loop_
_atom_site_label
_atom_site_type_symbol
_atom_site_fract_x
_atom_site_fract_y
_atom_site_fract_z
_atom_site_occupancy
O1 O 0.828 0.172 0.686 1
O2 O 0.333 0.667 0.998 1
O3 O 0.828 0.656 0.686 1
Al1 Al 0.667 0.333 0.776 1
O4 O 0.667 0.333 0.002 1
O5 O 0.656 0.828 0.314 1
O6 O 0.172 0.828 0.314 1
Ba1 Ba 0.000 0.000 0.000 1
O7 O 0.172 0.344 0.314 1
Ba2 Ba 0.333 0.667 0.678 1
Ba3 Ba 0.667 0.333 0.322 1
O8 O 0.344 0.172 0.686 1
Al2 Al 0.333 0.667 0.224 1
Bi1 Bi 0.000 0.000 0.500 1
```

No. 5
Below is BaAlBi2Os after structural relaxation, with properties calculated at the GGA-PBE level.

Its formation energy is 6.17 eV/f.u. As for the space group: P4/mmm.

Structure (CIF):
```
data_BaAlBi2Os
_space_group_name_H-M_alt 'P 1'
_space_group_IT_number 1
_cell_length_a 5.357
_cell_length_b 6.271
_cell_length_c 5.357
_cell_angle_alpha 90.00
_cell_angle_beta 90.00
_cell_angle_gamma 90.00
loop_
_space_group_symop_operation_xyz
'x,y,z'
loop_
_atom_site_label
_atom_site_type_symbol
_atom_site_fract_x
_atom_site_fract_y
_atom_site_fract_z
_atom_site_occupancy
Bi1 Bi 0.000 0.000 0.500 1
Os1 Os 0.500 0.500 0.500 1
Ba1 Ba 0.000 0.500 0.000 1
Bi2 Bi 0.500 0.000 0.000 1
Al1 Al 0.000 0.000 0.000 1
```

No. 6
Below is Rb2BaAlBi after structural relaxation, with properties calculated at the GGA-PBE level.

Its formation energy is 1.54 eV/f.u. As for the space group: P4/mmm.

Structure (CIF):
```
data_Rb2BaAlBi
_space_group_name_H-M_alt 'P 1'
_space_group_IT_number 1
_cell_length_a 6.337
_cell_length_b 6.677
_cell_length_c 6.337
_cell_angle_alpha 90.00
_cell_angle_beta 90.00
_cell_angle_gamma 90.00
loop_
_space_group_symop_operation_xyz
'x,y,z'
loop_
_atom_site_label
_atom_site_type_symbol
_atom_site_fract_x
_atom_site_fract_y
_atom_site_fract_z
_atom_site_occupancy
Rb1 Rb 0.000 0.000 0.500 1
Al1 Al 0.000 0.000 0.000 1
Ba1 Ba 0.000 0.500 0.000 1
Bi1 Bi 0.500 0.500 0.500 1
Rb2 Rb 0.500 0.000 0.000 1
```

No. 7
Below is Rb2BaAlBi2 after structural relaxation, with properties calculated at the GGA-PBE level.

Its formation energy is -2.52 eV/f.u. As for the space group: Pmc2_1.

Structure (CIF):
```
data_Rb2BaAlBi2
_space_group_name_H-M_alt 'P 1'
_space_group_IT_number 1
_cell_length_a 5.035
_cell_length_b 9.802
_cell_length_c 10.198
_cell_angle_alpha 90.00
_cell_angle_beta 90.00
_cell_angle_gamma 90.00
loop_
_space_group_symop_operation_xyz
'x,y,z'
loop_
_atom_site_label
_atom_site_type_symbol
_atom_site_fract_x
_atom_site_fract_y
_atom_site_fract_z
_atom_site_occupancy
Rb1 Rb 0.000 0.862 0.832 1
Bi1 Bi 0.500 0.255 0.407 1
Ba1 Ba 0.000 0.487 0.532 1
Ba2 Ba 0.000 0.987 0.468 1
Bi2 Bi 0.500 0.755 0.593 1
Bi3 Bi 0.000 0.238 0.808 1
Rb2 Rb 0.500 0.529 0.906 1
Rb3 Rb 0.500 0.029 0.094 1
Al1 Al 0.500 0.175 0.672 1
Al2 Al 0.500 0.675 0.328 1
Rb4 Rb 0.000 0.362 0.168 1
Bi4 Bi 0.000 0.738 0.192 1
```

No. 8
Below is BaAl2ReBi after structural relaxation, with properties calculated at the GGA-PBE level.

Its formation energy is 10.62 eV/f.u. As for the space group: P4/mmm.

Structure (CIF):
```
data_BaAl2ReBi
_space_group_name_H-M_alt 'P 1'
_space_group_IT_number 1
_cell_length_a 5.704
_cell_length_b 5.354
_cell_length_c 5.704
_cell_angle_alpha 90.00
_cell_angle_beta 90.00
_cell_angle_gamma 90.00
loop_
_space_group_symop_operation_xyz
'x,y,z'
loop_
_atom_site_label
_atom_site_type_symbol
_atom_site_fract_x
_atom_site_fract_y
_atom_site_fract_z
_atom_site_occupancy
Al1 Al 0.000 0.000 0.500 1
Bi1 Bi 0.500 0.500 0.500 1
Al2 Al 0.500 0.000 0.000 1
Ba1 Ba 0.000 0.000 0.000 1
Re1 Re 0.000 0.500 0.000 1
```

No. 9
Below is BaAlBiSe4 after structural relaxation, with properties calculated at the GGA-PBE level.

As for the formation energy from raw total energies: -1.02 eV per atom. As for the space group: P2_1/m.

Structure (CIF):
```
data_BaAlBiSe4
_space_group_name_H-M_alt 'P 1'
_space_group_IT_number 1
_cell_length_a 7.010
_cell_length_b 7.183
_cell_length_c 8.817
_cell_angle_alpha 90.00
_cell_angle_beta 107.63
_cell_angle_gamma 90.00
loop_
_space_group_symop_operation_xyz
'x,y,z'
loop_
_atom_site_label
_atom_site_type_symbol
_atom_site_fract_x
_atom_site_fract_y
_atom_site_fract_z
_atom_site_occupancy
Se1 Se 0.001 0.493 0.272 1
Se2 Se 0.432 0.750 0.146 1
Se3 Se 0.999 0.507 0.728 1
Al1 Al 0.230 0.750 0.319 1
Se4 Se 0.558 0.250 0.413 1
Bi1 Bi 0.233 0.250 0.539 1
Al2 Al 0.770 0.250 0.681 1
Se5 Se 0.568 0.250 0.854 1
Ba1 Ba 0.255 0.250 0.059 1
Ba2 Ba 0.745 0.750 0.941 1
Se6 Se 0.442 0.750 0.587 1
Se7 Se 0.999 0.993 0.728 1
Se8 Se 0.001 0.007 0.272 1
Bi2 Bi 0.767 0.750 0.461 1
```

No. 10
Below is Ba2AlBiSe5 after structural relaxation, with properties calculated at the GGA-PBE level.

As for the formation energy from raw total energies: -1.31 eV per atom. As for the space group: Cmc2_1.

Structure (CIF):
```
data_Ba2AlBiSe5
_space_group_name_H-M_alt 'P 1'
_space_group_IT_number 1
_cell_length_a 4.271
_cell_length_b 9.775
_cell_length_c 13.691
_cell_angle_alpha 90.00
_cell_angle_beta 90.00
_cell_angle_gamma 102.62
loop_
_space_group_symop_operation_xyz
'x,y,z'
loop_
_atom_site_label
_atom_site_type_symbol
_atom_site_fract_x
_atom_site_fract_y
_atom_site_fract_z
_atom_site_occupancy
Se1 Se 0.680 0.360 0.877 1
Al1 Al 0.556 0.113 0.923 1
Bi1 Bi 0.204 0.409 0.033 1
Se2 Se 0.320 0.640 0.377 1
Bi2 Bi 0.796 0.591 0.533 1
Ba1 Ba 0.884 0.768 0.186 1
Se3 Se 0.503 0.007 0.271 1
Se4 Se 0.497 0.993 0.771 1
Se5 Se 0.034 0.068 0.017 1
Se6 Se 0.291 0.582 0.678 1
Se7 Se 0.349 0.699 0.010 1
Al2 Al 0.444 0.887 0.423 1
Ba2 Ba 0.874 0.747 0.830 1
Se8 Se 0.651 0.301 0.510 1
Ba3 Ba 0.126 0.253 0.330 1
Se9 Se 0.709 0.418 0.178 1
Ba4 Ba 0.116 0.232 0.686 1
Se10 Se 0.966 0.932 0.517 1
```

No. 11
Below is BaAl2BiSe after structural relaxation, with properties calculated at the GGA-PBE level.

As for the formation energy from raw total energies: 0.11 eV per atom. As for the space group: P4/mmm.

Structure (CIF):
```
data_BaAl2BiSe
_space_group_name_H-M_alt 'P 1'
_space_group_IT_number 1
_cell_length_a 5.499
_cell_length_b 5.987
_cell_length_c 5.499
_cell_angle_alpha 90.00
_cell_angle_beta 90.00
_cell_angle_gamma 90.00
loop_
_space_group_symop_operation_xyz
'x,y,z'
loop_
_atom_site_label
_atom_site_type_symbol
_atom_site_fract_x
_atom_site_fract_y
_atom_site_fract_z
_atom_site_occupancy
Al1 Al 0.000 0.000 0.500 1
Al2 Al 0.500 0.000 0.000 1
Se1 Se 0.000 0.500 0.000 1
Bi1 Bi 0.000 0.000 0.000 1
Ba1 Ba 0.500 0.500 0.500 1
```

No. 12
Below is Ba2TaAlBi after structural relaxation, with properties calculated at the GGA-PBE level.

Its formation energy is 5.09 eV/f.u. As for the space group: P4/mmm.

Structure (CIF):
```
data_Ba2TaAlBi
_space_group_name_H-M_alt 'P 1'
_space_group_IT_number 1
_cell_length_a 6.409
_cell_length_b 5.255
_cell_length_c 6.409
_cell_angle_alpha 90.00
_cell_angle_beta 90.00
_cell_angle_gamma 90.00
loop_
_space_group_symop_operation_xyz
'x,y,z'
loop_
_atom_site_label
_atom_site_type_symbol
_atom_site_fract_x
_atom_site_fract_y
_atom_site_fract_z
_atom_site_occupancy
Ba1 Ba 0.000 0.000 0.500 1
Bi1 Bi 0.000 0.500 0.000 1
Ta1 Ta 0.500 0.500 0.500 1
Ba2 Ba 0.500 0.000 0.000 1
Al1 Al 0.000 0.000 0.000 1
```

No. 13
Below is Ba2TaAlBi after structural relaxation, with properties calculated at the GGA-PBE level.

Its formation energy is 3.56 eV/f.u. As for the space group: P4/mmm.

Structure (CIF):
```
data_Ba2TaAlBi
_space_group_name_H-M_alt 'P 1'
_space_group_IT_number 1
_cell_length_a 6.121
_cell_length_b 5.491
_cell_length_c 6.121
_cell_angle_alpha 90.00
_cell_angle_beta 90.00
_cell_angle_gamma 90.00
loop_
_space_group_symop_operation_xyz
'x,y,z'
loop_
_atom_site_label
_atom_site_type_symbol
_atom_site_fract_x
_atom_site_fract_y
_atom_site_fract_z
_atom_site_occupancy
Bi1 Bi 0.000 0.500 0.000 1
Ba1 Ba 0.500 0.000 0.000 1
Ta1 Ta 0.000 0.000 0.000 1
Al1 Al 0.500 0.500 0.500 1
Ba2 Ba 0.000 0.000 0.500 1
```